# 1
## Ac3GaAs2Rh9 (PBE)

Data for a relaxed structure of Ac3GaAs2Rh9.

Summary:
theoretical density: 9.84 Mg/m³
space group: P-3m1, No. 164
VASP energy: -6.501 eV per atom
total moment: 0.00 μB/cell
DOS(E_F): 0.46 states/eV per atom
formation enthalpy at 0 K: -10.30 kcal/mol of atoms

a = 6.880 Å, b = 6.880 Å, c = 7.517 Å
α = 90.00°, β = 90.00°, γ = 120.00°
Fractional coordinates of all 15 atoms:
1 Ac 0.000 0.000 0.000
2 Ac 0.333 0.667 0.661
3 Ac 0.667 0.333 0.339
4 Ga 0.000 0.000 0.500
5 As 0.333 0.667 0.170
6 As 0.667 0.333 0.830
7 Rh 0.000 0.500 0.000
8 Rh 0.163 0.326 0.320
9 Rh 0.163 0.837 0.320
10 Rh 0.326 0.163 0.680
11 Rh 0.500 0.000 0.000
12 Rh 0.500 0.500 0.000
13 Rh 0.674 0.837 0.320
14 Rh 0.837 0.163 0.680
15 Rh 0.837 0.674 0.680

=====

# 2
## Er2GaSiPt6 (PBE)

Data for a relaxed structure of Er2GaSiPt6.

Summary:
theoretical density: 13.76 Mg/m³
energy relative to the elements, uncorrected: -0.93 eV/atom
space group: Pmmn, No. 59
VASP energy: -6.308 eV per atom
total moment: 0.00 μB/cell
DOS(E_F): 0.31 states/eV per atom

a = 5.538 Å, b = 8.605 Å, c = 8.120 Å
α = 90.00°, β = 90.00°, γ = 90.00°
Fractional coordinates of all 20 atoms:
1 Er 0.250 0.003 0.234
2 Er 0.250 0.497 0.234
3 Er 0.750 0.503 0.766
4 Er 0.750 0.997 0.766
5 Ga 0.250 0.750 0.774
6 Ga 0.750 0.250 0.226
7 Si 0.250 0.250 0.745
8 Si 0.750 0.750 0.255
9 Pt 0.000 0.250 0.494
10 Pt 0.000 0.750 0.506
11 Pt 0.001 0.750 0.024
12 Pt 0.250 0.001 0.614
13 Pt 0.250 0.499 0.614
14 Pt 0.499 0.750 0.024
15 Pt 0.500 0.250 0.494
16 Pt 0.500 0.750 0.506
17 Pt 0.501 0.250 0.976
18 Pt 0.750 0.501 0.386
19 Pt 0.750 0.999 0.386
20 Pt 0.999 0.250 0.976